No. 1
Material: KLa2Hg
Method: DFT, PBE
State: optimized geometry

Cell lengths 12.5962, 12.5962, 12.5962 Å; angles 17.64, 17.64, 17.64 degrees
Closest atoms and distances in Å follow each position.
Atoms (fractional coordinates):
K (0.0000, 0.0000, 0.0000)  6 K 3.86
La (0.2312, 0.2312, 0.2312)  3 Hg 3.28
La (0.7688, 0.7688, 0.7688)  3 Hg 3.28
Hg (0.5000, 0.5000, 0.5000)  6 La 3.28

Calculated values
ΔH_f (0 K) in eV per atom: 0.01
Total moment in μB per formula unit: 0.0
Total energy in eV/cell: -11.2

=====

No. 2
Material: Dy6Y3ErTm2
Method: DFT, PBE
State: optimized geometry

Cell lengths 6.1248, 6.1248, 11.7169 Å; angles 94.98, 94.98, 119.94 degrees
Closest atoms and distances in Å follow each position.
Atoms (fractional coordinates):
Dy (0.0837, 0.4171, 0.7524)  2 Tm 3.51, 1 Er 3.51, 6 Dy 3.53-3.54, 3 Y 3.56
Dy (0.2494, 0.2494, 0.2476)  1 Er 3.51, 2 Tm 3.51, 6 Dy 3.53-3.54, 3 Y 3.56
Dy (0.4171, 0.0837, 0.7524)  2 Tm 3.51, 1 Er 3.51, 6 Dy 3.53-3.54, 3 Y 3.56
Dy (0.5829, 0.9163, 0.2476)  2 Tm 3.51, 1 Er 3.51, 6 Dy 3.53-3.54, 3 Y 3.56
Dy (0.7506, 0.7506, 0.7524)  1 Er 3.51, 2 Tm 3.51, 6 Dy 3.53-3.54, 3 Y 3.56
Dy (0.9163, 0.5829, 0.2476)  2 Tm 3.51, 1 Er 3.51, 6 Dy 3.53-3.54, 3 Y 3.56
Y (0.0000, 0.0000, 0.5000)  6 Y 3.53-3.54, 6 Dy 3.56
Y (0.3333, 0.6667, 0.5000)  6 Y 3.53-3.54, 6 Dy 3.56
Y (0.6667, 0.3333, 0.5000)  6 Y 3.53-3.54, 6 Dy 3.56
Er (0.5000, 0.5000, 0.0000)  6 Dy 3.51, 6 Tm 3.54
Tm (0.1666, 0.8334, 0.0000)  6 Dy 3.51, 3 Tm 3.53-3.54, 3 Er 3.54
Tm (0.8334, 0.1666, 0.0000)  6 Dy 3.51, 3 Tm 3.53-3.54, 3 Er 3.54

Calculated values
ΔH_f (0 K) in eV per atom: 0.02
Total moment in μB per formula unit: 0.0
Total energy in eV/cell: -60.3

=====

No. 3
Material: HoCd3Ag2
Method: DFT, PBE
State: optimized geometry

Cell lengths 8.9707, 8.9707, 7.5125 Å; angles 109.28, 109.28, 28.01 degrees
Closest atoms and distances in Å follow each position.
Atoms (fractional coordinates):
Ho (0.1119, 0.1119, 0.1573)  6 Ag 3.13-3.26, 5 Cd 3.21-3.45
Ho (0.8881, 0.8881, 0.8427)  6 Ag 3.13-3.26, 5 Cd 3.21-3.45
Cd (0.0711, 0.0711, 0.6746)  3 Ag 2.80-2.99, 5 Cd 2.93-3.13
Cd (0.3069, 0.3069, 0.0889)  4 Ag 2.93-3.11, 5 Cd 2.94-3.13
Cd (0.3686, 0.3686, 0.5152)  4 Ag 2.83-2.93, 3 Cd 2.98-3.01
Cd (0.6314, 0.6314, 0.4848)  4 Ag 2.83-2.93, 3 Cd 2.98-3.01
Cd (0.6931, 0.6931, 0.9111)  4 Ag 2.93-3.11, 5 Cd 2.94-3.13
Cd (0.9289, 0.9289, 0.3254)  3 Ag 2.80-2.99, 5 Cd 2.93-3.13
Ag (0.2427, 0.2427, 0.6737)  7 Cd 2.83-3.11
Ag (0.4834, 0.4834, 0.1653)  1 Ag 2.74, 4 Cd 2.80-2.93
Ag (0.5166, 0.5166, 0.8347)  1 Ag 2.74, 4 Cd 2.80-2.93
Ag (0.7573, 0.7573, 0.3263)  7 Cd 2.83-3.11

Calculated values
ΔH_f (0 K) in eV per atom: -0.15
Total moment in μB per formula unit: 0.0
Total energy in eV/cell: -27.9

=====

No. 4
Material: GaHg2Au2
Method: DFT, PBE
State: optimized geometry

Cell lengths 7.8904, 7.8904, 7.8904 Å; angles 151.18, 151.18, 41.21 degrees
Closest atoms and distances in Å follow each position.
Atoms (fractional coordinates):
Ga (0.0000, 0.0000, 0.0000)  8 Hg 3.14
Hg (0.4013, 0.4013, 0.0000)  1 Hg 2.92, 4 Au 2.97, 4 Ga 3.14
Hg (0.5987, 0.5987, 0.0000)  1 Hg 2.92, 4 Au 2.97, 4 Ga 3.14
Au (0.2500, 0.7500, 0.5000)  4 Au 2.78, 4 Hg 2.97
Au (0.7500, 0.2500, 0.5000)  4 Au 2.78, 4 Hg 2.97

Calculated values
ΔH_f (0 K) in eV per atom: 0.11
Energy above the lowest structure with this stoichiometry in meV per atom: 101
Total moment in μB per formula unit: 0.0
Total energy in eV/cell: -9.6

=====

No. 5
Material: Mn3CdGa
Method: DFT, PBE
State: optimized geometry

Cell lengths 6.0179, 6.0179, 6.0179 Å; angles 90.00, 90.00, 90.00 degrees
Closest atoms and distances in Å follow each position.
Atoms (fractional coordinates):
Mn (0.0000, 0.0000, 0.5000)  2 Cd 3.01
Mn (0.0000, 0.5000, 0.0000)  2 Cd 3.01
Mn (0.5000, 0.0000, 0.0000)  2 Cd 3.01
Cd (0.0000, 0.0000, 0.0000)  6 Mn 3.01
Ga (0.5000, 0.5000, 0.5000)  12 Mn 4.26

Calculated values
ΔH_f (0 K) in eV per atom: 1.76
Total moment in μB per formula unit: 13.4
Total energy in eV/cell: -22.6

=====

No. 6
Material: Li2ErAg2
Method: DFT, PBE
State: optimized geometry

Cell lengths 5.7287, 5.7287, 7.4353 Å; angles 109.83, 109.83, 66.26 degrees
Closest atoms and distances in Å follow each position.
Atoms (fractional coordinates):
Li (0.0299, 0.2131, 0.4473)  4 Ag 2.70-2.97, 3 Li 2.92-3.01
Li (0.2131, 0.0299, 0.9473)  4 Ag 2.70-2.97, 3 Li 2.92-3.01
Li (0.7869, 0.9701, 0.0527)  4 Ag 2.70-2.97, 3 Li 2.92-3.01
Li (0.9701, 0.7869, 0.5527)  4 Ag 2.70-2.97, 3 Li 2.92-3.01
Er (0.4224, 0.5776, 0.2500)  6 Ag 2.94-3.01
Er (0.5776, 0.4224, 0.7500)  6 Ag 2.94-3.01
Ag (0.0761, 0.5316, 0.8394)  4 Li 2.70-2.97, 3 Er 2.94-3.01, 1 Ag 2.97
Ag (0.4684, 0.9239, 0.6606)  4 Li 2.70-2.97, 3 Er 2.94-3.01, 1 Ag 2.97
Ag (0.5316, 0.0761, 0.3394)  4 Li 2.70-2.97, 3 Er 2.94-3.01, 1 Ag 2.97
Ag (0.9239, 0.4684, 0.1606)  4 Li 2.70-2.97, 3 Er 2.94-3.01, 1 Ag 2.97

Calculated values
ΔH_f (0 K) in eV per atom: -0.16
Energy above the lowest structure with this stoichiometry in meV per atom: 21
Total moment in μB per formula unit: 0.0
Total energy in eV/cell: -29.8

=====

No. 7
Material: Cr2IrRh6
Method: DFT, PBE
State: optimized geometry

Cell lengths 4.6759, 4.6759, 7.6943 Å; angles 97.42, 97.42, 49.26 degrees
Closest atoms and distances in Å follow each position.
Atoms (fractional coordinates):
Cr (0.2401, 0.2401, 0.0788)  2 Cr 2.31, 3 Rh 2.49-2.56
Cr (0.7599, 0.7599, 0.9212)  2 Cr 2.31, 3 Rh 2.49-2.56
Ir (0.5000, 0.5000, 0.5000)  12 Rh 2.69-2.80
Rh (0.1253, 0.1253, 0.7432)  3 Cr 2.56-2.63, 7 Rh 2.66-2.85, 2 Ir 2.80
Rh (0.1858, 0.1858, 0.3889)  1 Cr 2.49, 3 Ir 2.69-2.72, 5 Rh 2.69-2.73
Rh (0.4384, 0.4384, 0.8381)  6 Rh 2.56-2.73, 4 Cr 2.60-2.72, 1 Ir 2.73
Rh (0.5616, 0.5616, 0.1619)  6 Rh 2.56-2.73, 4 Cr 2.60-2.72, 1 Ir 2.73
Rh (0.8142, 0.8142, 0.6111)  1 Cr 2.49, 3 Ir 2.69-2.72, 5 Rh 2.69-2.73
Rh (0.8747, 0.8747, 0.2568)  3 Cr 2.56-2.63, 7 Rh 2.66-2.85, 2 Ir 2.80

Calculated values
ΔH_f (0 K) in eV per atom: 0.06
Energy above the lowest structure with this stoichiometry in meV per atom: 148
Total moment in μB per formula unit: 0.0
Total energy in eV/cell: -71.7